1.
AlCu5Si | Alexandria via LeMat-Bulk | PBE-GGA | optimized geometry; space-group type = Cmcm, No. 63; formation energy (no corrections) = -5.3 kJ/mol of atoms
1.0
3.397 -2.732 0.000
3.397 2.732 0.000
0.000 0.000 9.685
Al Cu Si
2 10 2
direct
0.143 0.857 0.750
0.857 0.143 0.250
0.064 0.346 0.610
0.064 0.346 0.890
0.346 0.064 0.110
0.346 0.064 0.390
0.422 0.578 0.250
0.578 0.422 0.750
0.654 0.936 0.610
0.654 0.936 0.890
0.936 0.654 0.110
0.936 0.654 0.390
0.500 0.500 0.000
0.500 0.500 0.500

2.
Al4CuSi | Alexandria via LeMat-Bulk | PBE-GGA | optimized geometry; space-group type = Pmma, No. 51; formation energy (no corrections) = 6.2 kJ/mol of atoms; relative energy among the computed polymorphs = 27 meV per atom
1.0
8.087 0.000 0.000
0.000 3.673 0.000
0.000 0.000 6.531
Al Cu Si
8 2 2
direct
0.000 0.000 0.000
0.057 0.500 0.317
0.250 0.500 0.881
0.443 0.500 0.317
0.500 0.000 0.000
0.557 0.500 0.683
0.750 0.500 0.119
0.943 0.500 0.683
0.250 0.000 0.194
0.750 0.000 0.806
0.250 0.000 0.561
0.750 0.000 0.439

3.
AlCu2Si2 | Alexandria via LeMat-Bulk | PBE-GGA | optimized geometry; space-group type = P4/nmm, No. 129; formation energy (no corrections) = 7.6 kJ/mol of atoms
1.0
3.671 0.000 0.000
0.000 3.671 0.000
0.000 0.000 10.911
Al Cu Si
2 4 4
direct
0.250 0.250 0.219
0.750 0.750 0.781
0.250 0.250 0.645
0.250 0.750 0.000
0.750 0.250 0.000
0.750 0.750 0.355
0.250 0.250 0.855
0.250 0.750 0.500
0.750 0.250 0.500
0.750 0.750 0.145

4.
AlCu2Si | Alexandria via LeMat-Bulk | PBE-GGA | optimized geometry; space-group type = P2/m, No. 10; formation energy (no corrections) = -1.5 kJ/mol of atoms
1.0
4.330 0.000 0.000
0.000 2.943 0.000
-1.743 0.000 4.206
Al Cu Si
1 2 1
direct
0.000 0.000 0.000
0.500 0.000 0.500
0.500 0.500 0.000
0.000 0.500 0.500

5.
AlCuSi2 | Alexandria via LeMat-Bulk | PBE-GGA | optimized geometry; space-group type = Pmmm, No. 47; formation energy (no corrections) = 23.1 kJ/mol of atoms
1.0
2.577 0.000 0.000
0.000 4.674 0.000
0.000 0.000 4.806
Al Cu Si
1 1 2
direct
0.000 0.000 0.000
0.500 0.000 0.500
0.000 0.500 0.500
0.500 0.500 0.000

6.
AlCu2Si | Alexandria via LeMat-Bulk | PBE-GGA | optimized geometry; space-group type = I-4m2, No. 119; formation energy (no corrections) = -1.2 kJ/mol of atoms
1.0
3.732 0.000 0.000
0.000 3.732 0.000
0.000 0.000 7.614
Al Cu Si
2 4 2
direct
0.000 0.000 0.000
0.500 0.500 0.500
0.000 0.000 0.500
0.000 0.500 0.750
0.500 0.000 0.250
0.500 0.500 0.000
0.000 0.500 0.250
0.500 0.000 0.750

7.
AlCu2Si2 | Alexandria via LeMat-Bulk | PBE-GGA | optimized geometry; space-group type = C2/c, No. 15; formation energy (no corrections) = 13.5 kJ/mol of atoms
1.0
3.987 -2.406 0.000
3.987 2.406 0.000
-3.391 0.000 7.577
Al Cu Si
2 4 4
direct
0.219 0.781 0.750
0.781 0.219 0.250
0.078 0.238 0.039
0.238 0.078 0.539
0.762 0.922 0.461
0.922 0.762 0.961
0.259 0.437 0.378
0.437 0.259 0.878
0.563 0.741 0.122
0.741 0.563 0.622

8.
AlCuSi | Alexandria via LeMat-Bulk | PBE-GGA | optimized geometry; space-group type = P-62c, No. 190; formation energy (no corrections) = 12.8 kJ/mol of atoms
1.0
6.571 0.000 0.000
-3.285 5.691 0.000
0.000 0.000 7.351
Al Cu Si
6 6 6
direct
0.000 0.276 0.000
0.000 0.276 0.500
0.276 0.000 0.000
0.276 0.000 0.500
0.724 0.724 0.000
0.724 0.724 0.500
0.103 0.674 0.250
0.326 0.429 0.250
0.429 0.326 0.750
0.571 0.897 0.250
0.674 0.103 0.750
0.897 0.571 0.750
0.000 0.000 0.250
0.000 0.000 0.750
0.333 0.667 0.574
0.333 0.667 0.926
0.667 0.333 0.074
0.667 0.333 0.426

9.
AlCuSi2 | Alexandria via LeMat-Bulk | PBE-GGA | optimized geometry; space-group type = P4mm, No. 99; formation energy (no corrections) = 17.6 kJ/mol of atoms
1.0
2.791 0.000 0.000
0.000 2.791 0.000
0.000 0.000 7.213
Al Cu Si
1 1 2
direct
0.000 0.000 0.000
0.500 0.500 0.240
0.000 0.000 0.473
0.500 0.500 0.726

10.
AlCuSi | Alexandria via LeMat-Bulk | PBE-GGA | optimized geometry; space-group type = Imm2, No. 44; formation energy (no corrections) = 9.3 kJ/mol of atoms
1.0
2.718 0.000 0.000
0.000 3.750 0.000
0.000 0.000 8.269
Al Cu Si
2 2 2
direct
0.000 0.000 0.000
0.500 0.500 0.500
0.000 0.000 0.667
0.500 0.500 0.167
0.000 0.000 0.324
0.500 0.500 0.824

11.
Al2Cu3Si | Alexandria via LeMat-Bulk | PBE-GGA | optimized geometry; space-group type = P6/mmm, No. 191; formation energy (no corrections) = 8.7 kJ/mol of atoms; relative energy among the computed polymorphs = 144 meV per atom
1.0
4.982 0.000 0.000
-2.491 4.315 0.000
0.000 0.000 4.163
Al Cu Si
2 3 1
direct
0.333 0.667 0.000
0.667 0.333 0.000
0.000 0.500 0.500
0.500 0.000 0.500
0.500 0.500 0.500
0.000 0.000 0.000

12.
AlCuSi | Alexandria via LeMat-Bulk | PBE-GGA | optimized geometry; space-group type = Cmm2, No. 35; formation energy (no corrections) = 4.3 kJ/mol of atoms
1.0
5.435 0.000 0.000
0.000 5.855 0.000
0.000 0.000 5.733
Al Cu Si
4 4 4
direct
0.000 0.000 0.000
0.000 0.500 0.037
0.500 0.000 0.037
0.500 0.500 0.000
0.250 0.250 0.735
0.250 0.750 0.735
0.750 0.250 0.735
0.750 0.750 0.735
0.000 0.215 0.393
0.000 0.785 0.393
0.500 0.285 0.393
0.500 0.715 0.393

13.
Al2Cu4Si | Alexandria via LeMat-Bulk | PBE-GGA | optimized geometry; space-group type = C2/m, No. 12; formation energy (no corrections) = -3.9 kJ/mol of atoms; relative energy among the computed polymorphs = 10 meV per atom
1.0
2.332 -1.408 0.000
2.332 1.408 0.000
-1.504 0.000 28.293
Al Cu Si
4 8 2
direct
0.135 0.135 0.393
0.237 0.237 0.754
0.763 0.763 0.246
0.865 0.865 0.607
0.070 0.070 0.173
0.184 0.184 0.536
0.314 0.314 0.964
0.453 0.453 0.319
0.547 0.547 0.681
0.686 0.686 0.036
0.816 0.816 0.464
0.930 0.930 0.827
0.374 0.374 0.104
0.626 0.626 0.896

14.
Al2CuSi4 | Alexandria via LeMat-Bulk | PBE-GGA | optimized geometry; space-group type = P6_3mc, No. 186; formation energy (no corrections) = 37.4 kJ/mol of atoms; relative energy among the computed polymorphs = 210 meV per atom
1.0
3.617 0.000 0.000
-1.808 3.132 0.000
0.000 0.000 23.512
Al Cu Si
4 2 8
direct
0.333 0.667 0.000
0.333 0.667 0.330
0.667 0.333 0.500
0.667 0.333 0.830
0.000 0.000 0.164
0.000 0.000 0.664
0.000 0.000 0.067
0.000 0.000 0.267
0.000 0.000 0.567
0.000 0.000 0.767
0.333 0.667 0.214
0.333 0.667 0.435
0.667 0.333 0.714
0.667 0.333 0.935

15.
AlCu3Si3 | Alexandria via LeMat-Bulk | PBE-GGA | optimized geometry; space-group type = P6_3/mmc, No. 194; formation energy (no corrections) = 8.0 kJ/mol of atoms; relative energy among the computed polymorphs = 12 meV per atom
1.0
7.277 0.000 0.000
-3.639 6.302 0.000
0.000 0.000 4.394
Al Cu Si
2 6 6
direct
0.333 0.667 0.250
0.667 0.333 0.750
0.128 0.255 0.250
0.128 0.872 0.250
0.255 0.128 0.750
0.745 0.872 0.250
0.872 0.128 0.750
0.872 0.745 0.750
0.221 0.441 0.750
0.221 0.779 0.750
0.441 0.221 0.250
0.559 0.779 0.750
0.779 0.221 0.250
0.779 0.559 0.250

16.
AlCu2Si | Alexandria via LeMat-Bulk | PBE-GGA | optimized geometry; space-group type = I4/mmm, No. 139; formation energy (no corrections) = -0.6 kJ/mol of atoms
1.0
3.763 0.000 0.000
0.000 3.763 0.000
0.000 0.000 7.506
Al Cu Si
2 4 2
direct
0.000 0.000 0.000
0.500 0.500 0.500
0.000 0.500 0.250
0.000 0.500 0.750
0.500 0.000 0.250
0.500 0.000 0.750
0.000 0.000 0.500
0.500 0.500 0.000

17.
Al3Cu3Si2 | Alexandria via LeMat-Bulk | PBE-GGA | optimized geometry; space-group type = P-62m, No. 189; formation energy (no corrections) = 8.7 kJ/mol of atoms; relative energy among the computed polymorphs = 72 meV per atom
1.0
7.087 0.000 0.000
-3.543 6.137 0.000
0.000 0.000 2.673
Al Cu Si
3 3 2
direct
0.000 0.759 0.000
0.241 0.241 0.000
0.759 0.000 0.000
0.000 0.369 0.500
0.369 0.000 0.500
0.631 0.631 0.500
0.333 0.667 0.000
0.667 0.333 0.000

18.
AlCuSi | Alexandria via LeMat-Bulk | PBE-GGA | optimized geometry; space-group type = P6_3mc, No. 186; formation energy (no corrections) = -1.3 kJ/mol of atoms
1.0
4.107 0.000 0.000
-2.054 3.557 0.000
0.000 0.000 7.215
Al Cu Si
2 2 2
direct
0.333 0.667 0.000
0.667 0.333 0.500
0.000 0.000 0.117
0.000 0.000 0.617
0.333 0.667 0.658
0.667 0.333 0.158

19.
AlCu2Si | Alexandria via LeMat-Bulk | PBE-GGA | optimized geometry; space-group type = P-3m1, No. 164; formation energy (no corrections) = 0.7 kJ/mol of atoms
1.0
4.076 0.000 0.000
-2.038 3.530 0.000
0.000 0.000 7.832
Al Cu Si
2 4 2
direct
0.000 0.000 0.179
0.000 0.000 0.821
0.333 0.667 0.037
0.333 0.667 0.699
0.667 0.333 0.301
0.667 0.333 0.963
0.333 0.667 0.383
0.667 0.333 0.617

20.
AlCuSi2 | Alexandria via LeMat-Bulk | PBE-GGA | optimized geometry; space-group type = P-6m2, No. 187; formation energy (no corrections) = 30.9 kJ/mol of atoms
1.0
2.717 0.000 0.000
-1.359 2.353 0.000
0.000 0.000 9.296
Al Cu Si
1 1 2
direct
0.000 0.000 0.000
0.667 0.333 0.500
0.667 0.333 0.245
0.667 0.333 0.755

21.
AlCuSi2 | Alexandria via LeMat-Bulk | PBE-GGA | optimized geometry; space-group type = R3m, No. 160; formation energy (no corrections) = 16.5 kJ/mol of atoms
1.0
3.013 0.000 0.000
-1.506 2.609 0.000
0.000 0.000 22.368
Al Cu Si
3 3 6
direct
0.000 0.000 0.000
0.333 0.667 0.667
0.667 0.333 0.333
0.000 0.000 0.751
0.333 0.667 0.418
0.667 0.333 0.084
0.000 0.000 0.243
0.000 0.000 0.496
0.333 0.667 0.163
0.333 0.667 0.910
0.667 0.333 0.577
0.667 0.333 0.829

22.
AlCu6Si | Alexandria via LeMat-Bulk | PBE-GGA | optimized geometry; space-group type = P4/mmm, No. 123; formation energy (no corrections) = 20.4 kJ/mol of atoms; relative energy among the computed polymorphs = 327 meV per atom
1.0
3.348 0.000 0.000
0.000 3.348 0.000
0.000 0.000 10.117
Al Cu Si
1 6 1
direct
0.000 0.000 0.000
0.000 0.500 0.191
0.000 0.500 0.809
0.500 0.000 0.191
0.500 0.000 0.809
0.500 0.500 0.381
0.500 0.500 0.619
0.000 0.000 0.500

23.
SmAlCu2Si | Alexandria via LeMat-Bulk | PBE-GGA | optimized geometry; space-group type = Imm2, No. 44; formation energy (no corrections) = -46.7 kJ/mol of atoms
1.0
3.993 0.000 0.000
0.000 4.008 0.000
0.000 0.000 10.716
Sm Al Cu Si
2 2 4 2
direct
0.000 0.000 0.000
0.500 0.500 0.500
0.000 0.500 0.749
0.500 0.000 0.249
0.000 0.000 0.615
0.000 0.500 0.263
0.500 0.000 0.763
0.500 0.500 0.115
0.000 0.000 0.396
0.500 0.500 0.896

24.
Sr2Al4CuSi3 | Alexandria via LeMat-Bulk | PBE-GGA | optimized geometry; space-group type = P-4m2, No. 115; formation energy (no corrections) = -24.4 kJ/mol of atoms
1.0
4.432 0.000 0.000
0.000 4.432 0.000
0.000 0.000 10.315
Sr Al Cu Si
2 4 1 3
direct
0.000 0.500 0.240
0.500 0.000 0.760
0.000 0.000 0.500
0.000 0.500 0.880
0.500 0.000 0.120
0.500 0.500 0.500
0.500 0.500 0.000
0.000 0.000 0.000
0.000 0.500 0.630
0.500 0.000 0.370